[1]
Material: Rb3CdCu
Method: DFT, PBE
State: optimized geometry

a = 6.611 Å, b = 6.611 Å, c = 6.611 Å
α = 90.00°, β = 90.00°, γ = 90.00°
Sites, in units of the cell vectors:
Cu 0.000 0.000 0.000
Rb 0.000 0.500 0.000
Rb 0.000 0.000 0.500
Rb 0.500 0.000 0.000
Cd 0.500 0.500 0.500

Summary:
ρ, Mg/m³: 2.48
Distance to the lowest polymorph of the same formula, meV/atom: 0
Total magnetization, μB per formula unit: 0.6
Energy of formation from the pure elements, eV/f.u.: 1.45

[2]
Material: Tl2BrN
Method: DFT, PBE
State: optimized geometry

a = 5.390 Å, b = 5.390 Å, c = 5.390 Å
α = 60.00°, β = 60.00°, γ = 60.00°
Last column: magnetic moment on the atom in μB.
Sites, in units of the cell vectors:
Tl 0.250 0.250 0.250  0.01
Tl 0.750 0.750 0.750  0.01
Br 0.500 0.500 0.500  0.05
N 0.000 0.000 0.000  1.30

Summary:
ρ, Mg/m³: 7.54
Distance to the lowest polymorph of the same formula, meV/atom: 395
Total magnetization, μB per formula unit: 2.0

[3]
Material: RbBiAuS2
Method: DFT, PBE
State: optimized geometry

a = 4.969 Å, b = 7.492 Å, c = 8.475 Å
α = 101.11°, β = 90.00°, γ = 90.00°
Sites, in units of the cell vectors:
Rb 0.176 0.500 0.750
Rb 0.824 0.500 0.250
Bi 0.444 0.000 0.250
Bi 0.556 0.000 0.750
Au 0.000 0.000 0.000
Au 0.000 0.000 0.500
S 0.680 0.762 0.966
S 0.680 0.238 0.534
S 0.320 0.762 0.466
S 0.320 0.238 0.034

Summary:
Calculated total energy, eV per atom: -3.7548
ρ, Mg/m³: 5.96
Total magnetization, μB per formula unit: 0.0

[4]
Material: GaMoRh3
Method: DFT, PBE
State: optimized geometry

a = 4.694 Å, b = 4.694 Å, c = 4.694 Å
α = 90.00°, β = 90.00°, γ = 90.00°
Sites, in units of the cell vectors:
Mo 0.000 0.000 0.000
Rh 0.000 0.500 0.000
Rh 0.000 0.000 0.500
Rh 0.500 0.000 0.000
Ga 0.500 0.500 0.500

Summary:
ρ, Mg/m³: 7.62
Distance to the lowest polymorph of the same formula, meV/atom: 97
Total magnetization, μB per formula unit: 0.0
Energy of formation from the pure elements, eV/f.u.: 5.07

[5]
Material: TiTeO
Method: DFT, PBE
State: optimized geometry

a = 6.561 Å, b = 3.336 Å, c = 3.336 Å
α = 120.00°, β = 90.00°, γ = 90.00°
Last column: magnetic moment on the atom in μB.
Sites, in units of the cell vectors:
Te 0.761 0.333 0.667  -0.02
O 0.168 0.000 0.000  -0.01
Ti 0.071 0.667 0.333  0.20

Summary:
Calculated total energy, eV per atom: -7.0157
ρ, Mg/m³: 5.03
Total magnetization, μB per formula unit: 0.2

[6]
Material: SmPaBi
Method: DFT, PBE
State: optimized geometry

a = 4.129 Å, b = 10.954 Å, c = 12.364 Å
α = 90.00°, β = 90.00°, γ = 90.00°
Last column: magnetic moment on the atom in μB.
Sites, in units of the cell vectors:
Bi 0.000 0.193 0.938  -0.01
Bi 0.000 0.807 0.062  -0.01
Bi 0.000 0.193 0.562  -0.01
Bi 0.000 0.807 0.438  -0.01
Bi 0.000 0.229 0.250  -0.01
Bi 0.000 0.771 0.750  -0.01
Pa 0.500 0.048 0.095  0.00
Pa 0.500 0.952 0.905  0.00
Pa 0.500 0.048 0.405  0.00
Pa 0.500 0.952 0.595  0.00
Pa 0.000 0.546 0.250  1.15
Pa 0.000 0.454 0.750  1.15
Sm 0.500 0.368 0.077  0.04
Sm 0.500 0.632 0.923  0.04
Sm 0.500 0.368 0.423  0.04
Sm 0.500 0.632 0.577  0.04
Sm 0.500 0.776 0.250  0.15
Sm 0.500 0.224 0.750  0.15

Summary:
ρ, Mg/m³: 10.52
Distance to the lowest polymorph of the same formula, meV/atom: 0
Total magnetization, μB per formula unit: 0.6
Energy of formation from the pure elements, eV/f.u.: 0.04

[7]
Material: TaTiCl3
Method: DFT, PBE
State: optimized geometry

a = 4.879 Å, b = 4.879 Å, c = 4.879 Å
α = 90.00°, β = 90.00°, γ = 90.00°
Last column: magnetic moment on the atom in μB.
Sites, in units of the cell vectors:
Cl 0.000 0.500 0.000  0.01
Cl 0.000 0.000 0.500  0.01
Cl 0.500 0.000 0.000  0.01
Ta 0.000 0.000 0.000  0.10
Ti 0.500 0.500 0.500  2.26

Summary:
ρ, Mg/m³: 4.79
Distance to the lowest polymorph of the same formula, meV/atom: 0
Total magnetization, μB per formula unit: 3.3

[8]
Material: Pm2HoTl
Method: DFT, PBE
State: optimized geometry

a = 3.578 Å, b = 3.578 Å, c = 12.440 Å
α = 81.73°, β = 81.73°, γ = 60.00°
Sites, in units of the cell vectors:
Tl 0.000 0.000 0.000
Ho 0.500 0.500 0.500
Pm 0.089 0.089 0.733
Pm 0.911 0.911 0.267

Summary:
ρ, Mg/m³: 8.05
Distance to the lowest polymorph of the same formula, meV/atom: 270
Total magnetization, μB per formula unit: 0.0
Energy of formation from the pure elements, eV/f.u.: 0.31

[9]
Material: LaScSN2
Method: DFT, PBE
State: optimized geometry

a = 4.187 Å, b = 4.187 Å, c = 5.708 Å
α = 90.00°, β = 90.00°, γ = 90.00°
Sites, in units of the cell vectors:
Sc 0.500 0.500 0.500
S 0.000 0.000 0.500
N 0.000 0.500 0.000
N 0.500 0.000 0.000
La 0.000 0.000 0.000

Summary:
ρ, Mg/m³: 4.05
Distance to the lowest polymorph of the same formula, meV/atom: 889
Total magnetization, μB per formula unit: 0.0

[10]
Material: La3Th
Method: DFT, PBE
State: optimized geometry

a = 5.866 Å, b = 5.866 Å, c = 5.866 Å
α = 60.00°, β = 60.00°, γ = 60.00°
Last column: magnetic moment on the atom in μB.
Sites, in units of the cell vectors:
Th 0.500 0.500 0.500  0.21
La 0.000 0.000 0.000  0.11
La 0.750 0.750 0.750  0.13
La 0.250 0.250 0.250  0.13

Summary:
ρ, Mg/m³: 7.55
Distance to the lowest polymorph of the same formula, meV/atom: 145
Total magnetization, μB per formula unit: 1.2
Energy of formation from the pure elements, eV/f.u.: 0.76

[11]
Material: CsB2Pt2
Method: DFT, PBE
State: optimized geometry

a = 6.611 Å, b = 6.611 Å, c = 6.991 Å
α = 118.22°, β = 118.22°, γ = 90.00°
Sites, in units of the cell vectors:
Cs 0.985 0.985 0.969
Cs 0.235 0.735 0.469
B 0.458 0.591 0.917
B 0.576 0.208 0.417
B 0.841 0.208 0.417
B 0.458 0.326 0.917
Pt 0.640 0.875 0.279
Pt 0.655 0.390 0.779
Pt 0.125 0.390 0.779
Pt 0.640 0.405 0.279

Summary:
ρ, Mg/m³: 7.96
Distance to the lowest polymorph of the same formula, meV/atom: 16
Total magnetization, μB per formula unit: 0.0
Energy of formation from the pure elements, eV/f.u.: 0.16

[12]
Material: Sm6Ga3Cu
Method: DFT, PBE
State: optimized geometry

a = 5.131 Å, b = 8.951 Å, c = 11.555 Å
α = 90.00°, β = 90.00°, γ = 90.00°
Sites, in units of the cell vectors:
Sm 0.500 0.167 0.917
Sm 0.500 0.168 0.580
Sm 0.500 0.499 0.254
Sm 0.500 0.501 0.746
Sm 0.500 0.832 0.420
Sm 0.500 0.833 0.083
Sm 0.000 0.333 0.417
Sm 0.000 0.332 0.080
Sm 0.000 0.001 0.754
Sm 0.000 0.999 0.246
Sm 0.000 0.668 0.920
Sm 0.000 0.667 0.583
Ga 0.500 0.833 0.744
Ga 0.500 0.500 0.000
Ga 0.500 0.167 0.256
Ga 0.000 0.667 0.244
Ga 0.000 0.000 0.500
Ga 0.000 0.333 0.756
Cu 0.500 0.500 0.500
Cu 0.000 0.000 0.000

Summary:
ρ, Mg/m³: 7.35
Total magnetization, μB per formula unit: 0.0
Energy of formation from the pure elements, eV/f.u.: -3.08

Copy entry 9 word for word.
Material: LaScSN2
Method: DFT, PBE
State: optimized geometry

a = 4.187 Å, b = 4.187 Å, c = 5.708 Å
α = 90.00°, β = 90.00°, γ = 90.00°
Sites, in units of the cell vectors:
Sc 0.500 0.500 0.500
S 0.000 0.000 0.500
N 0.000 0.500 0.000
N 0.500 0.000 0.000
La 0.000 0.000 0.000

Summary:
ρ, Mg/m³: 4.05
Distance to the lowest polymorph of the same formula, meV/atom: 889
Total magnetization, μB per formula unit: 0.0